Here is a relaxed structure of Li3VF6 from Alexandria via LeMat-Bulk. Energies are from PBE+U.

abc: 4.9740 4.9740 4.9429
angles: 90.00 90.00 120.00
Closest atoms and distances in Å follow each position.
Fractional coordinates of all 10 atoms:
Li1 0.3333 0.6667 0.5000  6 F 2.09
F1 0.6915 0.6915 0.2594  3 Li 1.94-2.09, 1 V 2.00
Li2 0.6667 0.3333 0.5000  6 F 2.09
F2 0.3085 0.0000 0.2594  3 Li 1.94-2.09, 1 V 2.00
F3 0.0000 0.6915 0.7406  3 Li 1.94-2.09, 1 V 2.00
F4 0.6915 0.0000 0.7406  3 Li 1.94-2.09, 1 V 2.00
Li3 0.0000 0.0000 0.5000  6 F 1.94
F5 0.0000 0.3085 0.2594  3 Li 1.94-2.09, 1 V 2.00
F6 0.3085 0.3085 0.7406  3 Li 1.94-2.09, 1 V 2.00
V1 0.0000 0.0000 0.0000  6 F 2.00

Calculated values
ΔE to the lowest computed polymorph	0.142	eV/atom